1.
DFT (PBE-GGA) results for an optimized crystal structure of Li2Ho3RhPb3.

Properties
As for the crystal system: hexagonal. As for the final energy: -4.52 eV per atom. As for the total magnetization: 0.0 μB/f.u.

abc: 8.3845 8.3845 3.5254
angles: 90.00 90.00 120.00
Closest atoms and distances in Å follow each position.
Space group P-62m (No. 189)
Symmetry-distinct sites (fractional):
Li  0.3333  0.6667  0.0000 x2  6 Pb 3.12, 3 Ho 3.16
Ho  0.0000  0.2572  0.0000 x3  2 Rh 2.78
Rh  0.0000  0.0000  0.5000 x1  6 Ho 2.78
Pb  0.0000  0.6049  0.5000 x3  4 Li 3.12, 1 Rh 3.31, 6 Ho 3.40-3.41

---

2.
DFT (PBE-GGA) results for an optimized crystal structure of LiHo2PbS4.

Properties
As for the crystal system: orthorhombic. As for the final energy: -5.39 eV per atom. As for the uncorrected formation energy: -1480 meV per atom. As for the total magnetization: 0.0 μB/f.u.

abc: 8.0034 8.0309 11.2558
angles: 90.00 90.00 90.00
Closest atoms and distances in Å follow each position.
Space group Imma (No. 74)
Symmetry-distinct sites (fractional):
Li  0.0000  0.0000  0.0000 x4  6 S 2.81-2.88
Ho  0.0000  0.0000  0.5000 x4  6 S 2.80-2.82
Ho  0.2500  0.2500  0.2500 x4  6 S 2.72-2.74
Pb  0.2500  0.2500  0.7500 x4  6 S 2.91-2.94
S  0.0000  0.0176  0.2496 x8  3 Ho 2.74-2.82, 1 Li 2.81, 2 Pb 2.94
S  0.2430  0.2500  0.4914 x8  3 Ho 2.72-2.80, 2 Li 2.88, 1 Pb 2.91

---

> Number 1 is which compound?

Li2Ho3RhPb3

---

> The highest final energy belongs to which entry?

Li2Ho3RhPb3

---

What did the first record say?
DFT (PBE-GGA) results for an optimized crystal structure of Li2Ho3RhPb3.

Properties
As for the crystal system: hexagonal. As for the final energy: -4.52 eV per atom. As for the total magnetization: 0.0 μB/f.u.

abc: 8.3845 8.3845 3.5254
angles: 90.00 90.00 120.00
Closest atoms and distances in Å follow each position.
Space group P-62m (No. 189)
Symmetry-distinct sites (fractional):
Li  0.3333  0.6667  0.0000 x2  6 Pb 3.12, 3 Ho 3.16
Ho  0.0000  0.2572  0.0000 x3  2 Rh 2.78
Rh  0.0000  0.0000  0.5000 x1  6 Ho 2.78
Pb  0.0000  0.6049  0.5000 x3  4 Li 3.12, 1 Rh 3.31, 6 Ho 3.40-3.41